No. 1
# ReAgTe

A relaxed ReAgTe crystal (PBE, Alexandria).

Calculated values
Distance to the lowest polymorph of the same formula = 0.7 kJ per mole of atoms
Formation energy without anion corrections = 660 meV/atom
Total energy = -5.4867 eV/atom
DOS(E_F) = 0.6993 states/eV per atom

```
data_ReAgTe
_cell_length_a 3.162
_cell_length_b 3.162
_cell_length_c 12.480
_cell_angle_alpha 90.00
_cell_angle_beta 90.00
_cell_angle_gamma 90.00
_space_group_name_H-M_alt 'I 4 m m'
_space_group_IT_number 107
_space_group_name_Hall 'I 4 -2'
loop_
_atom_site_label
_atom_site_type_symbol
_atom_site_fract_x
_atom_site_fract_y
_atom_site_fract_z
Re1 Re 0.000 0.000 0.000
Ag1 Ag 0.000 0.000 0.649
Te1 Te 0.000 0.000 0.376
```



No. 2
# Re2AgTe

A relaxed Re2AgTe crystal (PBE, Alexandria).

Calculated values
Formation energy without anion corrections = 513 meV/atom
Total energy = -7.2094 eV/atom
DOS(E_F) = 0.9956 states/eV per atom

```
data_Re2AgTe
_cell_length_a 3.009
_cell_length_b 3.009
_cell_length_c 8.412
_cell_angle_alpha 90.00
_cell_angle_beta 90.00
_cell_angle_gamma 90.00
_space_group_name_H-M_alt 'P 4 m m'
_space_group_IT_number 99
loop_
_space_group_symop_operation_xyz
'x,y,z'
'-y,x,z'
'-x,-y,z'
'y,-x,z'
'-x,y,z'
'y,x,z'
'x,-y,z'
'-y,-x,z'
loop_
_atom_site_label
_atom_site_type_symbol
_atom_site_fract_x
_atom_site_fract_y
_atom_site_fract_z
Re1 Re 0.000 0.000 0.000
Re2 Re 0.500 0.500 0.180
Ag1 Ag 0.500 0.500 0.751
Te1 Te 0.000 0.000 0.426
```



No. 3
# ReAg2Te

A relaxed ReAg2Te crystal (PBE, Alexandria).

Calculated values
Formation energy without anion corrections = 683 meV/atom
Total energy = -4.6404 eV/atom
DOS(E_F) = 0.8395 states/eV per atom

```
data_ReAg2Te
_cell_length_a 3.167
_cell_length_b 5.021
_cell_length_c 10.106
_cell_angle_alpha 90.00
_cell_angle_beta 90.00
_cell_angle_gamma 90.00
_space_group_name_H-M_alt 'C m m 2'
_space_group_IT_number 35
loop_
_space_group_symop_operation_xyz
'x,y,z'
'-x,-y,z'
'-x,y,z'
'x,-y,z'
'x+1/2,y+1/2,z'
'-x+1/2,-y+1/2,z'
'-x+1/2,y+1/2,z'
'x+1/2,-y+1/2,z'
loop_
_atom_site_label
_atom_site_type_symbol
_atom_site_fract_x
_atom_site_fract_y
_atom_site_fract_z
Re1 Re 0.000 0.000 0.000
Ag1 Ag 0.000 0.000 0.533
Ag2 Ag 0.000 0.500 0.767
Te1 Te 0.000 0.500 0.215
```



No. 4
# ReAgTe4

A relaxed ReAgTe4 crystal (PBE, Alexandria).

Calculated values
Distance to the lowest polymorph of the same formula = 127.7 kJ per mole of atoms
Formation energy without anion corrections = 1355 meV/atom
Total energy = -3.2889 eV/atom
DOS(E_F) = 0.7670 states/eV per atom

```
data_ReAgTe4
_cell_length_a 8.881
_cell_length_b 8.881
_cell_length_c 8.881
_cell_angle_alpha 90.00
_cell_angle_beta 90.00
_cell_angle_gamma 90.00
_space_group_name_H-M_alt 'F -4 3 m'
_space_group_IT_number 216
_space_group_name_Hall 'F -4 2 3'
loop_
_atom_site_label
_atom_site_type_symbol
_atom_site_fract_x
_atom_site_fract_y
_atom_site_fract_z
Re1 Re 0.000 0.000 0.000
Ag1 Ag 0.250 0.250 0.250
Te1 Te 0.126 0.126 0.626
```



No. 5
# ReAg2Te2

A relaxed ReAg2Te2 crystal (PBE, Alexandria).

Calculated values
Distance to the lowest polymorph of the same formula = 0.0 kJ per mole of atoms
Formation energy without anion corrections = 910 meV/atom
Total energy = -3.9771 eV/atom
DOS(E_F) = 0.8519 states/eV per atom

```
data_ReAg2Te2
_cell_length_a 7.524
_cell_length_b 7.524
_cell_length_c 3.794
_cell_angle_alpha 90.00
_cell_angle_beta 90.00
_cell_angle_gamma 90.00
_space_group_name_H-M_alt 'P 4/m b m'
_space_group_IT_number 127
_space_group_name_Hall '-P 4 2ab'
loop_
_atom_site_label
_atom_site_type_symbol
_atom_site_fract_x
_atom_site_fract_y
_atom_site_fract_z
Re1 Re 0.000 0.000 0.000
Ag1 Ag 0.129 0.371 0.000
Te1 Te 0.182 0.682 0.500
```



No. 6
# Re2AgTe

A relaxed Re2AgTe crystal (PBE, Alexandria).

Calculated values
Formation energy without anion corrections = 832 meV/atom
Total energy = -6.8901 eV/atom
DOS(E_F) = 0.8830 states/eV per atom

```
data_Re2AgTe
_cell_length_a 3.015
_cell_length_b 4.757
_cell_length_c 10.607
_cell_angle_alpha 90.00
_cell_angle_beta 90.00
_cell_angle_gamma 90.00
_space_group_name_H-M_alt 'I m m 2'
_space_group_IT_number 44
loop_
_space_group_symop_operation_xyz
'x,y,z'
'-x,-y,z'
'-x,y,z'
'x,-y,z'
'x+1/2,y+1/2,z+1/2'
'-x+1/2,-y+1/2,z+1/2'
'-x+1/2,y+1/2,z+1/2'
'x+1/2,-y+1/2,z+1/2'
loop_
_atom_site_label
_atom_site_type_symbol
_atom_site_fract_x
_atom_site_fract_y
_atom_site_fract_z
Re1 Re 0.000 0.000 0.000
Re2 Re 0.000 0.500 0.316
Ag1 Ag 0.000 0.000 0.525
Te1 Te 0.000 0.500 0.731
```